Compound: Al2Zn3
Source: Alexandria
Functional: GGA-PBE
Structure: relaxed

Cell lengths 5.0289, 5.0289, 11.6565 Å; angles 90.00, 90.00, 120.00 degrees
Closest atoms and distances in Å follow each position.
Space group R-3m (No. 166, hexagonal axes)
One atom of each set of equivalent atoms:
1 Al 0.0000 0.0000 0.1239  9 Zn 2.84-2.90, 4 Al 2.89-3.07
2 Zn 0.0000 0.5000 0.0000  4 Zn 2.51

DFT formation energy: 2.78 kcal/mol of atoms
Fermi-level density of states: 4.90 states/eV per cell
calculated volume: 255 Å³ per cell
theoretical density: 4.9 Mg/m³
energy above the most stable polymorph in this dataset: 112.8 meV per atom
DFT total energy: -2.141 eV/atom